Material: Er2CCl3
Method: DFT, PBE
State: relaxed

Values from the calculation:
The formation energy without anion corrections is -1.568 eV per atom.

Lattice parameters (Å, degrees): 17.024 3.878 10.417 90.00 126.37 90.00
Space group C2/m (No. 12)
One atom of each set of equivalent atoms:
Er  0.095  0.000  0.423 (multiplicity 4)
Er  0.125  0.500  0.762 (multiplicity 4)
C  0.040  0.000  0.593 (multiplicity 4)
Cl  0.039  0.500  0.211 (multiplicity 4)
Cl  0.167  0.000  0.992 (multiplicity 4)
Cl  0.224  0.500  0.620 (multiplicity 4)


Material: Tb2PrTmSe4
Method: DFT, PBE
State: relaxed

Values from the calculation:
The formation energy without anion corrections is -1.752 eV per atom.

Lattice parameters (Å, degrees): 7.077 4.056 7.282 90.00 108.68 90.00
Space group P2/m (No. 10)
One atom of each set of equivalent atoms:
Tb  0.000  0.000  0.000 (multiplicity 1)
Tb  0.000  0.500  0.500 (multiplicity 1)
Pr  0.500  0.000  0.500 (multiplicity 1)
Tm  0.500  0.500  0.000 (multiplicity 1)
Se  0.243  0.500  0.237 (multiplicity 2)
Se  0.251  0.000  0.761 (multiplicity 2)


Material: Fe5Co6Ge
Method: DFT, PBE
State: relaxed

Values from the calculation:
The energy relative to the elements comes out at -0.091 eV per atom.

Lattice parameters (Å, degrees): 4.042 5.677 12.126 90.00 90.00 90.00
Space group Immm (No. 71)
One atom of each set of equivalent atoms:
Fe  0.000  0.000  0.000 (multiplicity 2)
Fe  0.000  0.000  0.330 (multiplicity 4)
Fe  0.000  0.500  0.334 (multiplicity 4)
Co  0.000  0.249  0.167 (multiplicity 8)
Co  0.000  0.251  0.500 (multiplicity 4)
Ge  0.000  0.500  0.000 (multiplicity 2)


Material: Pb5W4
Method: DFT, PBE
State: relaxed

Values from the calculation:
The energy relative to the elements comes out at 0.751 eV per atom.

Lattice parameters (Å, degrees): 9.568 9.568 4.683 90.00 90.00 90.00
Space group I4/mmm (No. 139)
One atom of each set of equivalent atoms:
Pb  0.000  0.000  0.000 (multiplicity 2)
Pb  0.174  0.174  0.500 (multiplicity 8)
W  0.000  0.378  0.000 (multiplicity 8)


Material: LaDy5Pb6
Method: DFT, PBE
State: relaxed

Values from the calculation:
The energy relative to the elements comes out at -0.450 eV per atom.

Lattice parameters (Å, degrees): 5.068 8.955 15.200 90.00 90.00 90.00
Space group Immm (No. 71)
One atom of each set of equivalent atoms:
La  0.000  0.000  0.000 (multiplicity 2)
Dy  0.000  0.000  0.332 (multiplicity 4)
Dy  0.000  0.500  0.000 (multiplicity 2)
Dy  0.000  0.500  0.332 (multiplicity 4)
Pb  0.000  0.244  0.500 (multiplicity 4)
Pb  0.000  0.253  0.169 (multiplicity 8)


Material: AlTc2Os
Method: DFT, PBE
State: relaxed

Values from the calculation:
The energy relative to the elements comes out at -0.143 eV per atom.

Lattice parameters (Å, degrees): 2.996 4.374 8.682 90.00 90.00 90.00
Space group Imm2 (No. 44)
One atom of each set of equivalent atoms:
Al  0.000  0.000  0.000 (multiplicity 2)
Tc  0.000  0.000  0.500 (multiplicity 2)
Tc  0.000  0.500  0.256 (multiplicity 2)
Os  0.000  0.500  0.741 (multiplicity 2)


Number 1: DFT total energy -5.550 eV per atom. Number 2: DFT total energy -5.808 eV per atom. Number 3: DFT total energy -7.555 eV per atom. Number 4: DFT total energy -7.066 eV per atom. Number 5: DFT total energy -4.632 eV per atom. Number 6: DFT total energy -9.070 eV per atom.